# 1
A relaxed structure of Li2GaAsF. Source: the Alexandria database, functional PBEsol.

Output
- Uncorrected energy: -3.167 eV/atom

a b c (Å): 3.8712 5.1437 5.1437
angles (deg): 90.00 90.00 90.00
Last column: nearest neighbours and their distance in Å.
Fractional positions:
As (0.5000, 0.5000, 0.5000)  8 Li 3.22
Li (0.0000, 0.0000, 0.5000)  2 Ga 2.57
Li (0.0000, 0.5000, 0.0000)  2 Ga 2.57
Ga (0.0000, 0.0000, 0.0000)  2 F 1.94
F (0.5000, 0.0000, 0.0000)  2 Ga 1.94

***

# 2
A relaxed structure of GeAs2F. Source: the Alexandria database, functional PBEsol.

Output
- Energy above the lowest structure with this stoichiometry: 208 meV/atom

a b c (Å): 6.0337 6.3071 6.0337
angles (deg): 118.58 90.00 118.58
Last column: nearest neighbours and their distance in Å.
Fractional positions:
As (0.3911, 0.2500, 0.3750)  2 F 2.37, 2 Ge 2.49
As (0.8589, 0.2500, 0.8750)  2 F 2.37, 2 Ge 2.49
As (0.1250, 0.7500, 0.6089)  2 F 2.37, 2 Ge 2.49
As (0.6250, 0.7500, 0.1411)  2 F 2.37, 2 Ge 2.49
Ge (0.2500, 0.5000, 0.7500)  4 As 2.49
Ge (0.0000, 0.0000, 0.0000)  4 As 2.49
F (0.7500, 0.5000, 0.2500)  4 As 2.37
F (0.5000, 0.0000, 0.5000)  4 As 2.37

***

Calculated total magnetic moment, 0.000, 0.000 μB/f.u. (same order as the records).